1.
Re4TeMo, relaxed, DFT GGA-PBE; N(E_F) = 8.83 states/eV per cell; energy relative to the elements, uncorrected = 0.7400 eV/atom; space-group type = F-43m, No. 216; E = -9.888 eV per atom
1.0
0.000 3.717 3.717
3.717 0.000 3.717
3.717 3.717 0.000
Re Te Mo
4 1 1
Direct
0.125 0.125 0.125
0.125 0.125 0.625
0.125 0.625 0.125
0.625 0.125 0.125
0.750 0.750 0.750
0.500 0.500 0.500


2.
Ho4TmS7, relaxed, DFT GGA-PBE; N(E_F) = 1.33 states/eV per cell; energy relative to the elements, uncorrected = -2.0703 eV/atom; space-group type = Cm, No. 8; E = -6.377 eV per atom
1.0
6.378 -1.892 0.000
6.378 1.892 0.000
-2.917 0.000 11.174
Ho Tm S
4 1 7
Direct
0.000 0.000 0.000
0.188 0.188 0.766
0.588 0.588 0.390
0.888 0.888 0.577
0.776 0.776 0.156
0.149 0.149 0.225
0.229 0.229 0.527
0.387 0.387 0.079
0.548 0.548 0.629
0.630 0.630 0.932
0.847 0.847 0.793
0.929 0.929 0.361


3.
KSr, relaxed, DFT GGA-PBE; energy of formation from the pure elements = 0.0989 eV per atom; N(E_F) = 3.89 states/eV per cell; space-group type = Cmcm, No. 63; E = -1.291 eV per atom
1.0
2.144 -8.666 0.000
2.144 8.666 0.000
0.000 0.000 6.674
K Sr
2 2
Direct
0.064 0.936 0.750
0.936 0.064 0.250
0.307 0.693 0.750
0.693 0.307 0.250


4.
Sm2Er3Si4, relaxed, DFT GGA-PBE; N(E_F) = 16.13 states/eV per cell; energy relative to the elements, uncorrected = -0.7701 eV/atom; space-group type = P2_1/c, No. 14; E = -5.750 eV per atom
1.0
7.668 0.000 0.000
0.000 7.717 0.000
-2.171 0.000 7.085
Sm Er Si
4 6 8
Direct
0.198 0.178 0.082
0.198 0.322 0.582
0.802 0.678 0.418
0.802 0.822 0.918
0.245 0.680 0.252
0.245 0.820 0.752
0.500 0.000 0.500
0.500 0.500 0.000
0.755 0.180 0.248
0.755 0.320 0.748
0.079 0.531 0.875
0.079 0.969 0.375
0.492 0.120 0.876
0.492 0.380 0.376
0.508 0.620 0.624
0.508 0.880 0.124
0.921 0.031 0.625
0.921 0.469 0.125


5.
Ta3Hg2Br9, relaxed, DFT GGA-PBE; N(E_F) = 10.88 states/eV per cell; energy relative to the elements, uncorrected = -0.6847 eV/atom; space-group type = C2/m, No. 12; E = -4.343 eV per atom
1.0
5.112 -8.822 0.000
5.112 8.822 0.000
-3.762 0.000 9.498
Ta Hg Br
6 4 18
Direct
0.047 0.217 0.630
0.123 0.123 0.371
0.217 0.047 0.630
0.783 0.953 0.370
0.877 0.877 0.629
0.953 0.783 0.370
0.212 0.542 0.162
0.458 0.788 0.838
0.542 0.212 0.162
0.788 0.458 0.838
0.092 0.886 0.189
0.109 0.504 0.800
0.114 0.908 0.811
0.204 0.409 0.501
0.205 0.795 0.500
0.285 0.285 0.203
0.318 0.318 0.812
0.409 0.204 0.501
0.496 0.891 0.200
0.504 0.109 0.800
0.591 0.796 0.499
0.682 0.682 0.188
0.715 0.715 0.797
0.795 0.205 0.500
0.796 0.591 0.499
0.886 0.092 0.189
0.891 0.496 0.200
0.908 0.114 0.811


6.
LaCr2Fe, relaxed, DFT GGA-PBE; energy above the most stable polymorph in this dataset = 10 meV/atom; energy of formation from the pure elements = 0.3722 eV per atom; N(E_F) = 3.31 states/eV per cell; space-group type = P4mm, No. 99; E = -7.787 eV per atom
1.0
3.015 0.000 0.000
0.000 3.015 0.000
0.000 0.000 7.447
La Cr Fe
1 2 1
Direct
0.000 0.000 0.000
0.000 0.000 0.515
0.500 0.500 0.337
0.500 0.500 0.692


7.
GdErTh, relaxed, DFT GGA-PBE; energy above the most stable polymorph in this dataset = 0 meV/atom; energy of formation from the pure elements = 0.0206 eV per atom; N(E_F) = 5.01 states/eV per cell; space-group type = P3m1, No. 156; E = -8.667 eV per atom
1.0
3.567 0.000 0.000
-1.784 3.089 0.000
0.000 0.000 8.653
Gd Er Th
1 1 1
Direct
0.000 0.000 0.000
0.667 0.333 0.348
0.333 0.667 0.673


8.
Nb3CdRe, relaxed, DFT GGA-PBE; energy above the most stable polymorph in this dataset = 0 meV/atom; energy of formation from the pure elements = 1.0179 eV per atom; N(E_F) = 4.48 states/eV per cell; space-group type = Pm-3m, No. 221; E = -7.697 eV per atom
1.0
4.883 0.000 0.000
0.000 4.883 0.000
0.000 0.000 4.883
Nb Cd Re
3 1 1
Direct
0.000 0.000 0.500
0.000 0.500 0.000
0.500 0.000 0.000
0.500 0.500 0.500
0.000 0.000 0.000


9.
PaCdSeO5, relaxed, DFT GGA-PBE; energy relative to the elements, uncorrected = -1.8729 eV/atom; space-group type = C2/c, No. 15; E = -6.709 eV per atom
1.0
3.181 -5.835 0.000
3.181 5.835 0.000
-2.397 0.000 7.577
Pa Cd Se O
2 2 2 10
Direct
0.000 0.500 0.000
0.500 0.000 0.500
0.004 0.996 0.750
0.996 0.004 0.250
0.436 0.564 0.750
0.564 0.436 0.250
0.072 0.274 0.101
0.191 0.809 0.250
0.274 0.072 0.601
0.310 0.616 0.570
0.384 0.690 0.930
0.616 0.310 0.070
0.690 0.384 0.430
0.726 0.928 0.399
0.809 0.191 0.750
0.928 0.726 0.899


10.
Ti7P2H2, relaxed, DFT GGA-PBE; N(E_F) = 9.00 states/eV per cell; space-group type = C2/m, No. 12; E = -7.161 eV per atom
1.0
3.069 -5.005 0.000
3.069 5.005 0.000
-0.360 0.000 4.731
Ti P H
7 2 2
Direct
0.000 0.000 0.000
0.141 0.528 0.231
0.343 0.343 0.711
0.472 0.859 0.769
0.528 0.141 0.231
0.657 0.657 0.289
0.859 0.472 0.769
0.122 0.878 0.500
0.878 0.122 0.500
0.332 0.332 0.125
0.668 0.668 0.875


11.
Na2Tl8Sn3, relaxed, DFT GGA-PBE; energy above the most stable polymorph in this dataset = 0 meV/atom; energy of formation from the pure elements = -0.0133 eV per atom; N(E_F) = 5.52 states/eV per cell; space-group type = P2/m, No. 10; E = -2.596 eV per atom
1.0
7.471 0.000 0.000
0.000 5.016 0.000
-1.008 0.000 10.616
Na Tl Sn
2 8 3
Direct
0.234 0.000 0.068
0.766 0.000 0.932
0.075 0.000 0.353
0.086 0.500 0.860
0.353 0.000 0.780
0.366 0.500 0.276
0.634 0.500 0.724
0.647 0.000 0.220
0.914 0.500 0.140
0.925 0.000 0.647
0.213 0.500 0.563
0.500 0.000 0.500
0.787 0.500 0.437


12.
BaAl2Au, relaxed, DFT GGA-PBE; energy of formation from the pure elements = -0.2891 eV per atom; N(E_F) = 7.12 states/eV per cell; space-group type = I4_1/amd, No. 141; E = -3.460 eV per atom
1.0
-2.635 2.635 8.724
2.635 -2.635 8.724
2.635 2.635 -8.724
Ba Al Au
2 4 2
Direct
0.375 0.625 0.750
0.625 0.375 0.250
0.000 0.000 0.000
0.000 0.000 0.500
0.000 0.500 0.000
0.500 0.000 0.500
0.125 0.875 0.250
0.875 0.125 0.750


13.
TaHg2Te, relaxed, DFT GGA-PBE; N(E_F) = 4.10 states/eV per cell; energy relative to the elements, uncorrected = 0.4004 eV/atom; space-group type = Immm, No. 71; E = -3.499 eV per atom
1.0
-1.612 2.305 6.771
1.612 -2.305 6.771
1.612 2.305 -6.771
Ta Hg Te
1 2 1
Direct
0.000 0.000 0.000
0.191 0.691 0.500
0.809 0.309 0.500
0.500 0.500 0.000


14.
NbAsNCl2, relaxed, DFT GGA-PBE; N(E_F) = 4.58 states/eV per cell; energy relative to the elements, uncorrected = 0.8743 eV/atom; space-group type = P4/mmm, No. 123; E = -4.473 eV per atom
1.0
5.372 0.000 0.000
0.000 5.372 0.000
0.000 0.000 3.610
Nb As N Cl
1 1 1 2
Direct
0.000 0.000 0.000
0.500 0.500 0.500
0.500 0.500 0.000
0.000 0.500 0.500
0.500 0.000 0.500


15.
TlFeSi, relaxed, DFT GGA-PBE; energy above the most stable polymorph in this dataset = 96 meV/atom; N(E_F) = 1.81 states/eV per cell; energy relative to the elements, uncorrected = 0.4182 eV/atom; space-group type = P-6m2, No. 187; E = -4.999 eV per atom
1.0
3.967 0.000 0.000
-1.984 3.436 0.000
0.000 0.000 3.875
Tl Fe Si
1 1 1
Direct
0.000 0.000 0.000
0.667 0.333 0.500
0.333 0.667 0.500


16.
Nd6Sm2Hg, relaxed, DFT GGA-PBE; energy above the most stable polymorph in this dataset = 92 meV/atom; energy of formation from the pure elements = -0.0041 eV per atom; N(E_F) = 11.57 states/eV per cell; space-group type = C2/m, No. 12; E = -4.265 eV per atom
1.0
8.187 -5.242 0.000
8.187 5.242 0.000
-0.810 0.000 3.558
Nd Sm Hg
6 2 1
Direct
0.161 0.479 0.320
0.221 0.779 0.000
0.479 0.161 0.320
0.521 0.839 0.680
0.779 0.221 0.000
0.839 0.521 0.680
0.144 0.144 0.643
0.856 0.856 0.357
0.500 0.500 0.500


17.
CaTcPb2, relaxed, DFT GGA-PBE; energy above the most stable polymorph in this dataset = 236 meV/atom; energy of formation from the pure elements = 0.3589 eV per atom; N(E_F) = 3.48 states/eV per cell; space-group type = P4/mmm, No. 123; E = -4.587 eV per atom
1.0
4.703 0.000 0.000
0.000 4.703 0.000
0.000 0.000 4.431
Ca Tc Pb
1 1 2
Direct
0.000 0.000 0.000
0.500 0.500 0.000
0.000 0.500 0.500
0.500 0.000 0.500


18.
LiTc2SbN, relaxed, DFT GGA-PBE; N(E_F) = 4.87 states/eV per cell; energy relative to the elements, uncorrected = -0.0857 eV/atom; space-group type = P4/mmm, No. 123; E = -7.104 eV per atom
1.0
4.108 0.000 0.000
0.000 4.108 0.000
0.000 0.000 4.026
Li Tc Sb N
1 2 1 1
Direct
0.000 0.000 0.000
0.000 0.500 0.500
0.500 0.000 0.500
0.500 0.500 0.000
0.000 0.000 0.500


19.
LaMg2I2, relaxed, DFT GGA-PBE; energy above the most stable polymorph in this dataset = 0 meV/atom; N(E_F) = 2.60 states/eV per cell; energy relative to the elements, uncorrected = -0.5507 eV/atom; space-group type = I4/mmm, No. 139; E = -2.794 eV per atom
1.0
-2.032 2.032 10.196
2.032 -2.032 10.196
2.032 2.032 -10.196
La Mg I
1 2 2
Direct
0.000 0.000 0.000
0.250 0.750 0.500
0.750 0.250 0.500
0.409 0.409 0.000
0.591 0.591 0.000


20.
Li5Cd2Pt2, relaxed, DFT GGA-PBE; energy of formation from the pure elements = -0.2365 eV per atom; N(E_F) = 5.90 states/eV per cell; space-group type = Cmce, No. 64; E = -2.846 eV per atom
1.0
7.469 -4.216 0.000
7.469 4.216 0.000
0.000 0.000 4.689
Li Cd Pt
10 4 4
Direct
0.000 0.000 0.000
0.023 0.337 0.499
0.163 0.477 0.001
0.337 0.023 0.501
0.477 0.163 0.999
0.500 0.500 0.500
0.523 0.837 0.001
0.663 0.977 0.499
0.837 0.523 0.999
0.977 0.663 0.501
0.165 0.835 0.498
0.335 0.665 0.998
0.665 0.335 0.002
0.835 0.165 0.502
0.173 0.173 0.000
0.327 0.327 0.500
0.673 0.673 0.500
0.827 0.827 0.000


21.
Nd2Ga3Cu5, relaxed, DFT GGA-PBE; energy above the most stable polymorph in this dataset = 44 meV/atom; energy of formation from the pure elements = -0.3014 eV per atom; N(E_F) = 5.05 states/eV per cell; space-group type = P-4m2, No. 115; E = -4.211 eV per atom
1.0
4.220 0.000 0.000
0.000 4.220 0.000
0.000 0.000 10.032
Nd Ga Cu
2 3 5
Direct
0.000 0.500 0.239
0.500 0.000 0.761
0.000 0.500 0.644
0.500 0.000 0.356
0.500 0.500 0.500
0.000 0.000 0.000
0.000 0.000 0.500
0.000 0.500 0.883
0.500 0.000 0.117
0.500 0.500 0.000


22.
PuTeH2, relaxed, DFT GGA-PBE; energy above the most stable polymorph in this dataset = 48 meV/atom; N(E_F) = 7.89 states/eV per cell; space-group type = Amm2, No. 38; E = -6.480 eV per atom
1.0
4.048 0.000 0.000
0.000 2.228 3.759
0.000 -2.228 3.759
Pu Te H
1 1 2
Direct
0.000 0.000 0.000
0.500 0.660 0.660
0.000 0.207 0.394
0.000 0.394 0.207


23.
ScNiSn, relaxed, DFT GGA-PBE; energy of formation from the pure elements = -0.5482 eV per atom; N(E_F) = 2.16 states/eV per cell; space-group type = P3m1, No. 156; E = -5.920 eV per atom
1.0
4.390 0.000 0.000
-2.195 3.802 0.000
0.000 0.000 3.338
Sc Ni Sn
1 1 1
Direct
0.000 0.000 0.000
0.667 0.333 0.502
0.333 0.667 0.500


24.
La2MgCd2, relaxed, DFT GGA-PBE; energy above the most stable polymorph in this dataset = 247 meV/atom; energy of formation from the pure elements = 0.0016 eV per atom; N(E_F) = 6.05 states/eV per cell; space-group type = I4/mmm, No. 139; E = -2.654 eV per atom
1.0
-2.068 2.068 9.276
2.068 -2.068 9.276
2.068 2.068 -9.276
La Mg Cd
2 1 2
Direct
0.101 0.101 0.000
0.899 0.899 0.000
0.500 0.500 0.000
0.250 0.750 0.500
0.750 0.250 0.500